#P
LiTiPd4: relaxed, PBE.

The structure in POSCAR format:
```
LiTiPd4
1.0
-1.713 -3.083 -2.047
2.689 4.360 -4.754
3.327 -6.753 7.386
Li Ti Pd
2 2 8
Cartesian
0.488 0.639 -3.401
3.008 -1.197 1.316
0.403 -2.459 1.335
1.210 -7.377 4.004
0.142 -1.938 -3.292
1.642 -1.703 -0.840
4.162 -3.538 3.877
2.661 -3.773 1.425
1.562 -4.805 3.898
5.261 -2.506 1.403
2.741 -0.671 -3.314
-0.957 -2.970 -0.818
```

Results
SG ... No. 65
Size of the total moment ... 0.0 μB per cell

***

#Q
LiTiPd4: relaxed, PBE.

The structure in POSCAR format:
```
LiTiPd4
1.0
-1.834 1.029 1.843
-3.977 -2.858 -0.240
2.778 -2.403 6.226
Li Ti Pd
1 1 4
Cartesian
-1.517 -2.116 3.915
0.000 0.000 0.000
-1.242 -2.624 6.593
0.294 -0.449 2.664
-1.791 -1.608 1.237
-3.328 -3.784 5.165
```

Results
SG ... No. 12
Size of the total moment ... 0.0 μB per cell

***

Pick #P: it beats the second-best structure by 0.028 eV/atom.

***

#P
LiTi2Pd3: relaxed, PBE.

The structure in POSCAR format:
```
LiTi2Pd3
1.0
4.057 0.001 -0.001
-2.028 4.149 0.436
-0.002 1.214 10.848
Li Ti Pd
2 4 6
Cartesian
-0.002 3.555 7.519
2.029 1.809 3.765
-0.001 0.607 5.424
0.000 3.001 2.153
2.027 2.363 9.130
0.000 0.000 0.000
0.000 3.294 4.840
2.029 1.508 1.058
2.027 5.008 8.529
0.000 0.356 2.754
-0.002 3.856 10.225
2.027 2.070 6.443
```

Results
SG ... No. 12
Size of the total moment ... 1.8 μB per cell

***

#Q
LiTi2Pd3: relaxed, PBE.

The structure in POSCAR format:
```
LiTi2Pd3
1.0
-0.154 -1.891 2.386
3.024 -0.372 -0.100
1.128 7.543 6.052
Li Ti Pd
1 2 3
Cartesian
1.999 2.640 4.169
2.360 5.056 6.107
1.638 0.224 2.230
0.000 0.000 0.000
0.740 4.950 3.972
0.388 2.593 2.081
```

Results
SG ... No. 123
Size of the total moment ... 0.6 μB per cell

***

Pick #Q: it beats the second-best structure by 0.017 eV/atom.

***

#P
LiTiPd3: relaxed, PBE.

The structure in POSCAR format:
```
LiTiPd3
1.0
4.565 -0.500 0.347
-3.034 5.622 -0.009
0.818 -1.969 6.241
Li Ti Pd
2 2 6
Cartesian
-0.421 3.091 3.213
2.771 0.063 3.366
-0.532 1.543 0.533
2.882 1.610 6.046
0.498 0.929 4.573
2.603 -1.034 5.730
0.550 -0.191 1.967
1.852 2.225 2.006
1.800 3.345 4.612
-0.254 4.187 0.849
```

Results
SG ... No. 2
Size of the total moment ... 0.0 μB per cell

***

#Q
LiTiPd3: relaxed, PBE.

The structure in POSCAR format:
```
LiTiPd3
1.0
4.686 0.000 0.000
0.000 4.686 0.000
0.000 0.000 4.686
Li Pd Ti
1 3 1
Cartesian
2.343 2.343 2.343
0.000 2.343 0.000
0.000 0.000 2.343
2.343 0.000 0.000
0.000 0.000 0.000
```

Results
SG ... No. 221
Size of the total moment ... 0.0 μB per cell

***

#R
LiTiPd3: relaxed, PBE.

The structure in POSCAR format:
```
LiTiPd3
1.0
-2.290 4.151 4.510
-4.824 3.630 -1.721
-2.003 -2.534 5.383
Li Ti Pd
2 2 6
Cartesian
-3.991 1.597 2.945
-5.126 3.650 5.226
-3.100 -0.351 5.191
-6.017 5.598 2.981
-5.960 3.294 1.940
-3.377 2.861 0.538
-5.740 2.386 7.633
-3.157 1.952 6.232
0.000 0.000 0.000
-1.145 2.075 2.255
```

Results
SG ... No. 15
Size of the total moment ... 0.0 μB per cell

***

#S
LiTiPd3: relaxed, PBE.

The structure in POSCAR format:
```
LiTiPd3
1.0
-2.805 -3.159 0.025
1.233 -1.125 -3.880
2.908 -2.569 1.669
Li Pd Ti
1 3 1
Cartesian
0.000 0.000 0.000
0.617 -0.563 -1.940
1.454 -1.285 0.835
-1.402 -1.579 0.012
0.668 -3.427 -1.093
```

Results
SG ... No. 221
Size of the total moment ... 0.0 μB per cell

***

Pick #P: it beats the second-best structure by 0.277 eV/atom.

***

#P
LiTi2Pd8: relaxed, PBE.

The structure in POSCAR format:
```
LiTi2Pd8
1.0
-2.404 3.412 0.169
1.663 1.518 -6.972
-4.003 -5.462 1.706
Li Ti Pd
1 2 8
Cartesian
-1.202 1.706 0.085
-0.943 -0.457 -4.174
-3.802 -0.076 -0.923
-1.394 1.845 -5.445
-2.631 -1.722 -2.667
-1.204 -0.826 -0.467
-5.882 -1.571 -0.328
-3.540 0.293 -4.630
-2.113 1.189 -2.430
-3.350 -2.378 0.348
1.137 1.038 -4.769
```

Results
SG ... No. 71
Size of the total moment ... 0.0 μB per cell

***

#Q
LiTi2Pd8: relaxed, PBE.

The structure in POSCAR format:
```
LiTi2Pd8
1.0
-3.306 1.247 1.842
0.177 -5.087 3.761
5.312 4.399 2.245
Li Ti Pd
1 2 8
Cartesian
-1.653 0.624 0.921
0.461 1.739 3.959
1.722 -1.180 3.889
3.020 1.266 4.561
-0.189 -2.256 5.497
1.065 0.116 6.142
1.739 3.822 4.844
1.118 0.443 1.707
2.372 2.815 2.352
-0.836 -0.707 3.287
0.444 -3.263 3.005
```

Results
SG ... No. 12
Size of the total moment ... 0.0 μB per cell

***

Pick #Q: it beats the second-best structure by 0.030 eV/atom.

***

#P
LiTi2Pd2: relaxed, PBE.

The structure in POSCAR format:
```
LiTi2Pd2
1.0
-6.539 -3.983 -1.136
4.135 -6.157 -2.215
0.086 -0.899 2.657
Li Pd Ti
2 4 4
Cartesian
0.000 0.000 0.000
-1.202 -5.070 -1.676
1.750 -5.044 -0.281
-0.689 -8.272 -1.293
-4.069 -5.993 -0.414
-1.630 -2.766 0.599
1.218 -6.662 -2.292
-2.907 -7.379 -2.402
-3.622 -3.477 -1.059
0.503 -2.760 -0.950
```

Results
SG ... No. 127
Size of the total moment ... 0.0 μB per cell

***

#Q
LiTi2Pd2: relaxed, PBE.

The structure in POSCAR format:
```
LiTi2Pd2
1.0
-0.807 -2.764 0.048
0.895 -0.310 -2.778
8.787 -2.538 1.564
Li Ti Pd
1 2 2
Cartesian
0.000 0.000 0.000
5.665 -1.646 0.459
4.017 -1.202 -1.672
1.570 -1.973 -0.825
7.306 -3.639 -0.341
```

Results
SG ... No. 65
Size of the total moment ... 0.0 μB per cell

***

Pick #P: it beats the second-best structure by 0.027 eV/atom.

***

#P
LiTiPd6: relaxed, PBE.

The structure in POSCAR format:
```
LiTiPd6
1.0
-1.511 -3.358 1.173
5.083 -1.810 1.367
-0.641 2.078 5.123
Li Ti Pd
1 1 6
Cartesian
1.466 -1.545 3.832
-0.756 -1.679 0.587
3.669 -0.849 2.295
0.773 1.118 4.195
3.344 0.202 4.885
1.099 0.067 1.605
1.786 -2.584 1.270
-1.076 -0.640 3.148
```

Results
SG ... No. 123
Size of the total moment ... 0.0 μB per cell

***

#Q
LiTiPd6: relaxed, PBE.

The structure in POSCAR format:
```
LiTiPd6
1.0
5.706 -0.482 0.595
-0.052 5.726 0.595
2.317 2.149 4.292
Li Ti Pd
1 1 6
Cartesian
0.000 0.000 0.000
3.986 3.697 2.741
1.981 4.699 1.674
4.834 1.622 1.674
3.137 5.771 3.807
5.990 2.694 3.807
1.986 1.842 1.369
5.985 5.551 4.112
```

Results
SG ... No. 12
Size of the total moment ... 0.5 μB per cell

***

Pick #P: it beats the second-best structure by 0.244 eV/atom.

***

#P
Li3TiPd6: relaxed, PBE.

The structure in POSCAR format:
```
Li3TiPd6
1.0
4.130 0.000 0.000
0.000 7.778 -0.859
0.000 -0.647 8.991
Li Ti Pd
6 2 12
Cartesian
1.032 4.016 3.095
3.097 3.115 5.038
1.032 2.201 7.020
3.097 4.930 1.112
1.032 5.200 8.151
3.097 1.931 -0.018
1.032 6.855 4.780
3.097 0.276 3.352
1.032 3.525 0.531
3.097 3.606 7.601
1.032 1.083 1.769
3.097 6.048 6.364
1.032 4.397 5.617
3.097 2.734 2.515
1.032 1.623 4.421
3.097 5.508 3.711
1.032 6.379 1.988
3.097 0.752 6.144
1.032 -0.087 8.074
3.097 7.218 0.059
```

Results
SG ... No. 11
Size of the total moment ... 0.0 μB per cell

***

#Q
Li3TiPd6: relaxed, PBE.

The structure in POSCAR format:
```
Li3TiPd6
1.0
2.766 0.000 0.000
0.000 10.181 -0.475
0.000 -3.862 10.741
Li Ti Pd
6 2 12
Cartesian
2.075 1.883 9.338
0.692 4.436 0.928
2.075 4.537 5.034
0.692 1.782 5.233
2.075 1.859 1.185
0.692 4.460 9.081
2.075 -1.922 7.584
0.692 8.241 2.682
2.075 2.958 7.133
0.692 3.361 3.134
2.075 9.332 0.540
0.692 -3.013 9.726
2.075 -0.580 9.751
0.692 6.899 0.516
2.075 5.894 2.803
0.692 0.425 7.463
2.075 -0.705 5.168
0.692 7.024 5.099
2.075 5.731 7.246
0.692 0.588 3.020
```

Results
SG ... No. 11
Size of the total moment ... 0.0 μB per cell

***

Pick #P: it beats the second-best structure by 0.071 eV/atom.

***

#P
LiTi2Pd4: relaxed, PBE.

The structure in POSCAR format:
```
LiTi2Pd4
1.0
-1.778 -5.641 -6.264
-0.128 -4.036 3.671
-4.801 2.794 -1.153
Li Ti Pd
2 4 8
Cartesian
0.000 0.000 0.000
-0.953 -4.839 -1.296
-3.449 -7.403 -4.203
-3.258 0.520 0.457
-4.211 -4.319 -0.839
-2.496 -2.564 -2.907
-1.471 -6.810 -2.748
-3.804 -5.020 -3.286
-3.740 -3.002 -5.122
-1.284 -4.400 -4.149
-5.424 -2.483 0.403
-2.968 -3.881 1.375
-2.903 -1.863 -0.460
-5.236 -0.074 -0.998
```

Results
SG ... No. 64
Size of the total moment ... 3.2 μB per cell

***

#Q
LiTi2Pd4: relaxed, PBE.

The structure in POSCAR format:
```
LiTi2Pd4
1.0
-4.593 1.467 -4.975
-4.512 -1.764 4.982
4.398 5.281 -1.023
Li Ti Pd
2 4 8
Cartesian
-1.115 1.723 1.980
-1.219 -0.038 0.002
-1.264 4.216 -2.008
-5.719 0.694 0.994
-3.463 1.576 -1.497
1.032 3.483 0.479
-3.640 2.363 -4.003
-3.287 0.788 1.009
-3.701 4.152 -1.991
-0.457 4.982 -4.442
-0.366 1.746 -1.554
1.172 4.280 -2.026
-2.071 3.450 0.425
-6.560 1.405 -1.440
```

Results
SG ... No. 2
Size of the total moment ... 0.0 μB per cell

***

Pick #Q: it beats the second-best structure by 0.144 eV/atom.

***

#P
LiTlPd: relaxed, PBE.

The structure in POSCAR format:
```
LiTlPd
1.0
4.509 0.000 0.000
2.255 3.905 0.000
2.255 1.302 3.682
Tl Pd Li
1 1 1
Cartesian
4.509 2.603 1.841
2.255 1.302 0.920
0.000 0.000 0.000
```

Results
SG ... No. 216
Size of the total moment ... 0.0 μB per cell

***

#Q
LiTlPd: relaxed, PBE.

The structure in POSCAR format:
```
LiTlPd
1.0
-1.068 4.451 0.952
-7.855 -1.353 -2.487
2.286 -3.802 8.862
Li Tl Pd
6 6 6
Cartesian
-3.903 -0.672 -1.236
-5.309 -2.166 4.169
-1.194 1.485 3.200
-8.367 0.876 -2.005
-4.588 -1.417 1.479
-1.918 0.736 5.889
-1.698 -0.632 1.048
0.305 0.831 7.939
0.342 -0.880 4.500
-4.119 0.669 3.732
-3.088 -2.071 6.220
-6.159 0.917 0.280
-6.935 -1.494 -0.797
-5.024 -0.127 6.438
-2.218 -1.321 3.690
-6.679 0.228 2.921
-0.563 -1.676 7.206
-3.541 1.408 0.922
```

Results
SG ... No. 38
Size of the total moment ... 0.0 μB per cell

***

#R
LiTlPd: relaxed, PBE.

The structure in POSCAR format:
```
LiTlPd
1.0
-0.649 -2.783 -3.519
4.149 0.505 1.754
-0.997 -4.323 3.603
Li Tl Pd
2 2 2
Cartesian
-0.272 -4.085 1.822
2.775 -2.516 0.016
2.277 -4.676 1.819
0.225 -1.925 0.020
1.576 -1.909 2.679
2.075 0.252 0.877
```

Results
SG ... No. 194
Size of the total moment ... 0.0 μB per cell

***

Pick #R: it beats the second-best structure by 0.021 eV/atom.

***

#P
LiTlPd: relaxed, PBE.

The structure in POSCAR format:
```
LiTlPd
1.0
3.002 0.000 0.000
0.000 4.511 0.000
0.000 -2.256 3.907
Tl Pd Li
1 1 1
Cartesian
2.970 0.000 0.000
1.185 0.000 2.605
1.848 2.256 1.302
```

Results
SG ... No. 156
Size of the total moment ... 0.0 μB per cell

***

#Q
LiTlPd: relaxed, PBE.

The structure in POSCAR format:
```
LiTlPd
1.0
-1.846 -1.043 2.713
1.620 -3.038 -0.066
3.235 3.645 1.418
Tl Pd Li
1 1 1
Cartesian
0.614 -1.667 1.962
2.622 -0.635 3.726
1.844 0.948 1.620
```

Results
SG ... No. 107
Size of the total moment ... 0.0 μB per cell

***

Pick #Q: it beats the second-best structure by 0.033 eV/atom.